Compound: AcCr2IrO8
Source: Alexandria via LeMat-Bulk
Functional: PBE+U
Structure: optimized geometry

a b c (Å): 5.063 5.066 7.358
angles (deg): 88.13 88.12 68.99
Fractional positions:
O 0.776 0.245 0.202
O 0.244 0.776 0.202
O 0.702 0.702 0.429
O 0.756 0.224 0.798
O 0.224 0.755 0.798
O 0.298 0.298 0.571
O 0.231 0.231 0.969
O 0.769 0.769 0.031
Cr 0.373 0.373 0.786
Cr 0.627 0.627 0.214
Ac 0.000 0.000 0.500
Ir 0.000 0.000 0.000

Output
Density: 6.14 g/cm3
VASP energy: -7.285 eV per atom
SG: C2/m (12)
Fermi-level density of states: 2.75 states/eV/f.u.
Total moment: 1.97 μB per cell